Entry from Alexandria via LeMat-Bulk: a relaxed structure of Ac2CuWO6 (GGA+U).

Unit cell a=5.932 b=5.770 c=5.907 alpha=119.23 beta=120.21 gamma=90.00
Last column: magnetic moment on the atom in μB.
Positions (direct):
O (0.823, 0.804, 0.120)  0.02
W (0.000, 0.500, 0.000)  0.96
Cu (0.500, 0.000, 0.000)  -0.03
O (0.177, 0.683, 0.880)  0.02
O (0.323, 0.721, 0.443)  -0.02
O (0.177, 0.196, 0.880)  0.02
O (0.823, 0.317, 0.120)  0.02
Ac (0.767, 0.748, 0.496)  0.01
O (0.677, 0.279, 0.557)  -0.02
Ac (0.233, 0.252, 0.504)  0.01

total magnetization: 0.99 μB per cell
DFT total energy: -0.271 Ha/atom
symmetry: C2/m